[1]
TiFePtRh | Alexandria | GGA-PBE | relaxed; distance to the lowest polymorph of the same formula = 0.136 eV/atom; calculated formation energy = -461 meV per atom
1.0
4.3561 0.0000 0.0000
2.1781 3.7725 0.0000
2.1781 1.2575 3.5568
Fe Rh Ti Pt
1 1 1 1
Cartesian
0.0000 0.0000 0.0000
6.5342 3.7725 2.6676
4.3561 2.5150 1.7784
2.1781 1.2575 0.8892

[2]
Rb2SbTe4Au2 | Alexandria | GGA-PBE | relaxed; ΔE_f (raw) = -3.06 eV per formula unit
1.0
-2.4177 -0.5974 -5.4591
0.9840 -6.5844 -0.3233
-8.4936 4.4520 4.0368
Rb Sb Te Au
2 1 4 2
Cartesian
-6.7032 -0.1126 -0.5682
-3.2241 -2.6173 -1.1774
0.0000 0.0000 0.0000
-1.7212 -5.3553 -3.2386
-5.2175 -0.5429 -3.8752
-4.7098 -2.1869 2.1296
-8.2061 2.6255 1.4930
-1.7510 -2.9868 -4.4255
-8.1762 0.2570 2.6799

[3]
Zn4GePb | Alexandria | GGA-PBE | relaxed; calculated formation energy = 191 meV per atom
1.0
5.4627 0.0000 0.0000
2.7313 4.7308 0.0000
2.7313 1.5769 4.4602
Zn Pb Ge
4 1 1
Cartesian
5.4627 3.1539 0.5496
4.0905 3.9461 2.7903
5.4627 1.5695 2.7903
6.8348 3.9461 2.7903
2.7313 1.5769 1.1151
0.0000 0.0000 0.0000

[4]
TlTe2Os | Alexandria | GGA-PBE | relaxed; distance to the lowest polymorph of the same formula = 0.879 eV/atom; ΔE_f (raw) = 3.95 eV per formula unit
1.0
5.3961 -0.0127 0.0000
1.4322 5.2026 0.0000
-3.4142 -2.5949 3.2754
Tl Te Os
1 2 1
Cartesian
3.4142 2.5949 0.0000
0.0000 0.0000 0.0000
0.7161 2.6013 1.6377
2.6981 -0.0064 1.6377

One value per record, in order, for final energy: -7.898; -3.138; -2.046; -3.981 eV/atom.